Entry 1:
# Fe3F

A crystal of Fe3F relaxed with PBEsol (meta-GGA SCAN, the Alexandria database).

Cell and atoms, written as POSCAR:
```
Fe3F
1.0
3.605 0.000 0.000
0.000 3.605 0.000
0.000 0.000 3.605
Fe F
3 1
Cartesian
1.802 0.000 1.802
0.000 1.802 1.802
1.802 1.802 0.000
0.000 0.000 0.000
```

Summary:
- Space group: Pm-3m (221)
- V: 11.71 Å³/atom
- Formation energy (no corrections): 0.017 eV/atom
- Mass density: 6.61 Mg/m³
- Density of states at the Fermi level: 2.164 states/eV/cell
- E: -14.47 eV/atom



Entry 2:
# FeF3

A crystal of FeF3 relaxed with PBEsol (meta-GGA SCAN, the Alexandria database).

Cell and atoms, written as POSCAR:
```
FeF3
1.0
-2.851 -0.908 -2.410
2.187 -2.752 -1.551
-1.360 -2.523 2.559
F Fe
3 1
Cartesian
-0.680 -1.261 1.280
-1.426 -0.454 -1.205
1.094 -1.376 -0.775
0.000 0.000 0.000
```

Summary:
- Space group: Pm-3m (221)
- V: 14.18 Å³/atom
- Formation energy (no corrections): -2.489 eV/atom
- Mass density: 3.30 Mg/m³
- E: -9.68 eV/atom



Entry 3:
# FeF3

A crystal of FeF3 relaxed with PBEsol (meta-GGA SCAN, the Alexandria database).

Cell and atoms, written as POSCAR:
```
FeF3
1.0
-1.964 -6.446 2.856
0.728 -6.123 -3.942
5.114 -4.919 1.792
F Fe
12 4
Cartesian
-0.218 -5.803 -0.362
2.430 -5.232 -0.760
-0.503 -7.306 1.919
0.517 -3.391 -1.431
2.697 -10.384 3.041
-0.048 -11.138 -0.548
4.382 -10.182 -1.214
2.158 -2.941 0.715
-0.491 -3.512 1.113
1.181 -7.104 -2.335
1.423 -5.353 1.783
3.926 -6.350 1.253
0.849 -5.248 -1.883
3.042 -4.646 0.984
0.485 -2.186 0.088
-0.497 -5.409 1.516
```

Summary:
- Space group: Fd-3m (227)
- V: 17.32 Å³/atom
- Formation energy (no corrections): -2.490 eV/atom
- Mass density: 2.70 Mg/m³
- E: -9.68 eV/atom



Entry 4:
# FeF3

A crystal of FeF3 relaxed with PBEsol (meta-GGA SCAN, the Alexandria database).

Cell and atoms, written as POSCAR:
```
FeF3
1.0
5.085 0.000 0.000
2.543 4.404 0.000
2.543 1.468 4.478
F Fe
6 2
Cartesian
3.516 3.155 1.119
4.490 4.404 3.358
6.654 2.717 3.358
6.059 4.185 1.119
4.112 1.687 3.358
5.680 1.468 1.119
0.000 0.000 0.000
5.085 2.936 2.239
```

Summary:
- Space group: R-3c (167)
- V: 12.54 Å³/atom
- Formation energy (no corrections): -2.510 eV/atom
- Mass density: 3.74 Mg/m³
- E: -9.70 eV/atom



Entry 5:
# FeF2

A crystal of FeF2 relaxed with PBEsol (meta-GGA SCAN, the Alexandria database).

Cell and atoms, written as POSCAR:
```
FeF2
1.0
-1.783 -0.179 2.156
-3.344 -2.254 -2.952
1.922 -4.449 1.221
F Fe
4 2
Cartesian
-1.017 -4.795 -1.239
-0.103 -4.066 1.400
-0.405 -1.909 -0.493
-3.102 -2.816 -0.976
-1.602 -3.441 0.212
0.000 0.000 0.000
```

Summary:
- Space group: P4_2/mnm (136)
- V: 11.67 Å³/atom
- Formation energy (no corrections): -2.256 eV/atom
- Mass density: 4.45 Mg/m³
- Density of states at the Fermi level: 2.711 states/eV/cell
- E: -10.66 eV/atom



Entry 6:
# GaFeNF2

A crystal of GaFeNF2 relaxed with PBEsol (meta-GGA SCAN, the Alexandria database).

Cell and atoms, written as POSCAR:
```
GaFeNF2
1.0
-4.056 -0.518 0.299
-0.278 -0.187 -4.086
0.450 -3.447 0.127
Ga F N Fe
1 2 1 1
Cartesian
-1.942 -2.076 -1.830
-0.139 -0.093 -2.043
-2.028 -0.259 0.150
0.225 -1.724 0.063
0.000 0.000 0.000
```

Summary:
- Space group: P4/mmm (123)
- V: 11.69 Å³/atom
- Formation energy (no corrections): -0.816 eV/atom
- Mass density: 5.04 Mg/m³
- Density of states at the Fermi level: 2.019 states/eV/cell
- E: -10.99 eV/atom



Entry 7:
# Ga2FeOF

A crystal of Ga2FeOF relaxed with PBEsol (meta-GGA SCAN, the Alexandria database).

Cell and atoms, written as POSCAR:
```
Ga2FeOF
1.0
-1.116 -2.524 -2.221
-0.929 -2.893 3.755
-4.490 1.766 0.250
Ga F Fe O
2 1 1 1
Cartesian
-0.465 -1.447 1.878
-2.245 0.883 0.125
-3.267 -1.826 0.892
-0.558 -1.262 -1.110
0.000 0.000 0.000
```

Summary:
- Space group: P4/mmm (123)
- V: 16.53 Å³/atom
- Formation energy (no corrections): -0.532 eV/atom
- Mass density: 4.63 Mg/m³
- Density of states at the Fermi level: 1.627 states/eV/cell
- E: -12.65 eV/atom



Entry 8:
# GaFeP2F

A crystal of GaFeP2F relaxed with PBEsol (meta-GGA SCAN, the Alexandria database).

Cell and atoms, written as POSCAR:
```
GaFeP2F
1.0
-1.949 2.763 -1.541
-3.528 -0.817 2.997
1.890 3.035 3.051
P Fe F Ga
2 1 1 1
Cartesian
0.945 1.517 1.526
-1.764 -0.408 1.499
-1.794 2.491 2.254
-0.975 1.382 -0.771
0.000 0.000 0.000
```

Summary:
- Space group: P4/mmm (123)
- V: 16.42 Å³/atom
- Formation energy (no corrections): 0.116 eV/atom
- Mass density: 4.18 Mg/m³
- Density of states at the Fermi level: 3.912 states/eV/cell
- E: -11.65 eV/atom



Copy entry 6 word for word.
# GaFeNF2

A crystal of GaFeNF2 relaxed with PBEsol (meta-GGA SCAN, the Alexandria database).

Cell and atoms, written as POSCAR:
```
GaFeNF2
1.0
-4.056 -0.518 0.299
-0.278 -0.187 -4.086
0.450 -3.447 0.127
Ga F N Fe
1 2 1 1
Cartesian
-1.942 -2.076 -1.830
-0.139 -0.093 -2.043
-2.028 -0.259 0.150
0.225 -1.724 0.063
0.000 0.000 0.000
```

Summary:
- Space group: P4/mmm (123)
- V: 11.69 Å³/atom
- Formation energy (no corrections): -0.816 eV/atom
- Mass density: 5.04 Mg/m³
- Density of states at the Fermi level: 2.019 states/eV/cell
- E: -10.99 eV/atom



Please write out number 7 again, unchanged.
# Ga2FeOF

A crystal of Ga2FeOF relaxed with PBEsol (meta-GGA SCAN, the Alexandria database).

Cell and atoms, written as POSCAR:
```
Ga2FeOF
1.0
-1.116 -2.524 -2.221
-0.929 -2.893 3.755
-4.490 1.766 0.250
Ga F Fe O
2 1 1 1
Cartesian
-0.465 -1.447 1.878
-2.245 0.883 0.125
-3.267 -1.826 0.892
-0.558 -1.262 -1.110
0.000 0.000 0.000
```

Summary:
- Space group: P4/mmm (123)
- V: 16.53 Å³/atom
- Formation energy (no corrections): -0.532 eV/atom
- Mass density: 4.63 Mg/m³
- Density of states at the Fermi level: 1.627 states/eV/cell
- E: -12.65 eV/atom



> The highest mass density belongs to which entry?

Fe3F